1.
First-principles (PBE) data for Pd8Pt2Rh after structural relaxation, as listed in the Alexandria database.

E_tot ... -121.58 eV/cell
Density of states at the Fermi level ... 21.179 states/eV/f.u.
Formation enthalpy at 0 K ... 0.017 eV/atom
Total magnetization ... 0.39 μB/atom

abc: 14.2240 3.9351 6.2383
angles: 90.00 105.20 90.00
Space group C2/m (No. 12)
Asymmetric unit:
Pd: 0.0452 0.0000 0.2299 [4 per cell]
Pd: 0.0902 0.5000 0.9516 [4 per cell]
Pd: 0.1353 0.0000 0.6794 [4 per cell]
Pd: 0.1811 0.5000 0.4077 [4 per cell]
Pt: 0.2271 0.0000 0.1345 [4 per cell]
Rh: 0.0000 0.5000 0.5000 [2 per cell]

2.
First-principles (PBE) data for Pd6PtRh after structural relaxation, as listed in the Alexandria database.

E_tot ... -44.34 eV/cell
Density of states at the Fermi level ... 18.462 states/eV/f.u.
Formation enthalpy at 0 K ... 0.027 eV/atom
Total magnetization ... 0.10 μB/atom

abc: 3.9324 3.9324 7.8664
angles: 90.00 90.00 90.00
Space group P4/mmm (No. 123)
Asymmetric unit:
Pd: 0.0000 0.0000 0.0000 [1 per cell]
Pd: 0.0000 0.0000 0.5000 [1 per cell]
Pd: 0.0000 0.5000 0.2470 [4 per cell]
Pt: 0.5000 0.5000 0.5000 [1 per cell]
Rh: 0.5000 0.5000 0.0000 [1 per cell]

3.
First-principles (PBE) data for PdRuPtRh after structural relaxation, as listed in the Alexandria database.

E_tot ... -27.90 eV/cell
Density of states at the Fermi level ... 4.733 states/eV/f.u.
Formation enthalpy at 0 K ... -0.010 eV/atom
Total magnetization ... 0.00 μB/atom

abc: 2.7408 2.7408 7.8576
angles: 90.00 90.00 90.00
Space group P4mm (No. 99)
Asymmetric unit:
Pd: 0.0000 0.0000 0.0000 [1 per cell]
Ru: 0.0000 0.0000 0.5132 [1 per cell]
Pt: 0.5000 0.5000 0.2653 [1 per cell]
Rh: 0.5000 0.5000 0.7412 [1 per cell]